Entry 1:
DFT (PBE-GGA) results for a geometry-optimized CeLuNb4 structure.

Results
crystal system: cubic
N(E_F): 8.53 states/eV/f.u.
M_tot: 0.00 μB/f.u.
energy of formation from the pure elements: 3.769 kcal/mol of atoms

Unit cell a=8.0626 b=8.0626 c=8.0626 alpha=90.00 beta=90.00 gamma=90.00
With the nearest neighbours (Å) after each atom.
Space group F-43m (No. 216)
Inequivalent atoms, fractional coordinates:
Ce 0.0000 0.0000 0.0000  12 Nb 3.34, 4 Lu 3.49
Lu 0.2500 0.2500 0.7500  12 Nb 3.34, 4 Ce 3.49
Nb 0.1253 0.1253 0.3747  6 Nb 2.84-2.86


Entry 2:
DFT (PBE-GGA) results for a geometry-optimized CeNdLu2 structure.

Results
E above lowest polymorph: 0.070 eV per atom
crystal system: cubic
N(E_F): 8.20 states/eV/f.u.
M_tot: 0.50 μB/f.u.
energy of formation from the pure elements: 2.885 kcal/mol of atoms

Unit cell a=7.9544 b=7.9544 c=7.9544 alpha=90.00 beta=90.00 gamma=90.00
With the nearest neighbours (Å) after each atom.
Space group Fm-3m (No. 225)
Inequivalent atoms, fractional coordinates:
Ce 0.0000 0.0000 0.0000  8 Lu 3.44
Nd 0.0000 0.0000 0.5000  8 Lu 3.44
Lu 0.2500 0.2500 0.2500  4 Nd 3.44, 4 Ce 3.44


Entry 3:
DFT (PBE-GGA) results for a geometry-optimized CeNd2Lu structure.

Results
E above lowest polymorph: 0.000 eV per atom
crystal system: tetragonal
N(E_F): 7.71 states/eV/f.u.
M_tot: 0.71 μB/f.u.
energy of formation from the pure elements: 1.702 kcal/mol of atoms

Unit cell a=5.0738 b=5.0738 c=5.0282 alpha=90.00 beta=90.00 gamma=90.00
With the nearest neighbours (Å) after each atom.
Space group P4/mmm (No. 123)
Inequivalent atoms, fractional coordinates:
Ce 0.0000 0.0000 0.0000  8 Nd 3.57, 4 Lu 3.59
Nd 0.0000 0.5000 0.5000  4 Ce 3.57, 4 Lu 3.57, 4 Nd 3.59
Lu 0.5000 0.5000 0.0000  8 Nd 3.57, 4 Ce 3.59


Entry 4:
DFT (PBE-GGA) results for a geometry-optimized CeNd2Lu structure.

Results
E above lowest polymorph: 0.122 eV per atom
crystal system: cubic
N(E_F): 10.62 states/eV/f.u.
M_tot: 3.10 μB/f.u.
energy of formation from the pure elements: 4.504 kcal/mol of atoms

Unit cell a=8.1029 b=8.1029 c=8.1029 alpha=90.00 beta=90.00 gamma=90.00
With the nearest neighbours (Å) after each atom.
Space group Fm-3m (No. 225)
Inequivalent atoms, fractional coordinates:
Ce 0.0000 0.0000 0.0000  8 Nd 3.51
Nd 0.2500 0.2500 0.2500  4 Ce 3.51, 4 Lu 3.51
Lu 0.0000 0.0000 0.5000  8 Nd 3.51


Entry 5:
DFT (PBE-GGA) results for a geometry-optimized CeNdLu2 structure.

Results
E above lowest polymorph: 0.005 eV per atom
crystal system: tetragonal
N(E_F): 7.49 states/eV/f.u.
M_tot: 0.63 μB/f.u.
energy of formation from the pure elements: 1.390 kcal/mol of atoms

Unit cell a=3.5567 b=3.5567 c=9.7243 alpha=90.00 beta=90.00 gamma=90.00
With the nearest neighbours (Å) after each atom.
Space group P4/mmm (No. 123)
Inequivalent atoms, fractional coordinates:
Ce 0.0000 0.0000 0.0000  8 Lu 3.44, 4 Ce 3.56
Nd 0.0000 0.0000 0.5000  4 Nd 3.56, 8 Lu 3.56
Lu 0.5000 0.5000 0.2410  4 Ce 3.44, 4 Lu 3.56, 4 Nd 3.56


Entry 6:
DFT (PBE-GGA) results for a geometry-optimized Ce4NdLu structure.

Results
crystal system: cubic
N(E_F): 18.58 states/eV/f.u.
M_tot: 3.96 μB/f.u.
energy of formation from the pure elements: 4.715 kcal/mol of atoms

Unit cell a=8.9499 b=8.9499 c=8.9499 alpha=90.00 beta=90.00 gamma=90.00
With the nearest neighbours (Å) after each atom.
Space group F-43m (No. 216)
Inequivalent atoms, fractional coordinates:
Ce 0.1197 0.1197 0.3803  6 Ce 3.03-3.30
Nd 0.0000 0.0000 0.0000  12 Ce 3.73, 4 Lu 3.88
Lu 0.2500 0.2500 0.7500  12 Ce 3.70, 4 Nd 3.88


Entry 7:
DFT (PBE-GGA) results for a geometry-optimized CeNdLu2 structure.

Results
E above lowest polymorph: 0.000 eV per atom
crystal system: trigonal
N(E_F): 7.24 states/eV/f.u.
M_tot: 0.69 μB/f.u.
energy of formation from the pure elements: 1.279 kcal/mol of atoms

Unit cell a=3.5195 b=3.5195 c=34.1607 alpha=90.00 beta=90.00 gamma=120.00
With the nearest neighbours (Å) after each atom.
Space group R-3m (No. 166, hexagonal axes)
Inequivalent atoms, fractional coordinates:
Ce 0.0000 0.0000 0.0000  6 Lu 3.45, 6 Ce 3.52
Nd 0.0000 0.0000 0.5000  6 Nd 3.52, 6 Lu 3.55
Lu 0.0000 0.0000 0.2517  3 Ce 3.45, 6 Lu 3.52, 3 Nd 3.55


Entry 8:
DFT (PBE-GGA) results for a geometry-optimized CeNd2Lu structure.

Results
E above lowest polymorph: 0.114 eV per atom
crystal system: trigonal
N(E_F): 8.50 states/eV/f.u.
M_tot: 0.80 μB/f.u.
energy of formation from the pure elements: 4.340 kcal/mol of atoms

Unit cell a=3.4550 b=3.4550 c=37.3928 alpha=90.00 beta=90.00 gamma=120.00
With the nearest neighbours (Å) after each atom.
Space group R-3m (No. 166, hexagonal axes)
Inequivalent atoms, fractional coordinates:
Ce 0.0000 0.0000 0.0000  2 Nd 3.31, 6 Ce 3.45
Nd 0.0000 0.0000 0.0885  1 Ce 3.31, 6 Nd 3.45, 3 Lu 3.54
Lu 0.0000 0.0000 0.5000  6 Lu 3.45, 6 Nd 3.54


Entry 9:
DFT (PBE-GGA) results for a geometry-optimized CeNdLuSc structure.

Results
crystal system: cubic
N(E_F): 7.86 states/eV/f.u.
M_tot: 0.44 μB/f.u.
energy of formation from the pure elements: 2.804 kcal/mol of atoms

Unit cell a=7.8287 b=7.8287 c=7.8287 alpha=90.00 beta=90.00 gamma=90.00
With the nearest neighbours (Å) after each atom.
Space group F-43m (No. 216)
Inequivalent atoms, fractional coordinates:
Ce 0.0000 0.0000 0.0000  4 Sc 3.39, 4 Lu 3.39
Nd 0.0000 0.0000 0.5000  4 Sc 3.39, 4 Lu 3.39
Lu 0.2500 0.2500 0.2500  4 Ce 3.39, 4 Nd 3.39
Sc 0.2500 0.2500 0.7500  4 Ce 3.39, 4 Nd 3.39


Entry 10:
DFT (PBE-GGA) results for a geometry-optimized CeNdSmLu structure.

Results
crystal system: cubic
N(E_F): 10.18 states/eV/f.u.
M_tot: 3.18 μB/f.u.
energy of formation from the pure elements: 4.497 kcal/mol of atoms

Unit cell a=8.0738 b=8.0738 c=8.0738 alpha=90.00 beta=90.00 gamma=90.00
With the nearest neighbours (Å) after each atom.
Space group F-43m (No. 216)
Inequivalent atoms, fractional coordinates:
Ce 0.0000 0.0000 0.0000  4 Sm 3.50, 4 Nd 3.50
Nd 0.2500 0.2500 0.2500  4 Ce 3.50, 4 Lu 3.50
Sm 0.2500 0.2500 0.7500  4 Ce 3.50, 4 Lu 3.50
Lu 0.0000 0.0000 0.5000  4 Nd 3.50, 4 Sm 3.50


Entry 11:
DFT (PBE-GGA) results for a geometry-optimized CeNdLuSn structure.

Results
crystal system: cubic
N(E_F): 6.95 states/eV/f.u.
M_tot: 0.42 μB/f.u.
energy of formation from the pure elements: -4.002 kcal/mol of atoms

Unit cell a=7.6481 b=7.6481 c=7.6481 alpha=90.00 beta=90.00 gamma=90.00
With the nearest neighbours (Å) after each atom.
Space group F-43m (No. 216)
Inequivalent atoms, fractional coordinates:
Ce 0.0000 0.0000 0.0000  4 Nd 3.31, 4 Lu 3.31
Nd 0.2500 0.2500 0.7500  4 Sn 3.31, 4 Ce 3.31
Lu 0.2500 0.2500 0.2500  4 Sn 3.31, 4 Ce 3.31
Sn 0.0000 0.0000 0.5000  4 Lu 3.31, 4 Nd 3.31


Entry 12:
DFT (PBE-GGA) results for a geometry-optimized TbCeNdLu structure.

Results
crystal system: cubic
N(E_F): 10.01 states/eV/f.u.
M_tot: 3.18 μB/f.u.
energy of formation from the pure elements: 4.477 kcal/mol of atoms

Unit cell a=8.0401 b=8.0401 c=8.0401 alpha=90.00 beta=90.00 gamma=90.00
With the nearest neighbours (Å) after each atom.
Space group F-43m (No. 216)
Inequivalent atoms, fractional coordinates:
Tb 0.0000 0.0000 0.0000  4 Ce 3.48, 4 Lu 3.48
Ce 0.2500 0.2500 0.2500  4 Nd 3.48, 4 Tb 3.48
Nd 0.0000 0.0000 0.5000  4 Ce 3.48, 4 Lu 3.48
Lu 0.2500 0.2500 0.7500  4 Tb 3.48, 4 Nd 3.48


Entry 13:
DFT (PBE-GGA) results for a geometry-optimized CeNdLuTh structure.

Results
crystal system: cubic
N(E_F): 20.30 states/eV/f.u.
M_tot: 1.35 μB/f.u.
energy of formation from the pure elements: 4.925 kcal/mol of atoms

Unit cell a=7.9888 b=7.9888 c=7.9888 alpha=90.00 beta=90.00 gamma=90.00
With the nearest neighbours (Å) after each atom.
Space group F-43m (No. 216)
Inequivalent atoms, fractional coordinates:
Ce 0.0000 0.0000 0.0000  4 Nd 3.46, 4 Th 3.46
Nd 0.2500 0.2500 0.7500  4 Ce 3.46, 4 Lu 3.46
Lu 0.0000 0.0000 0.5000  4 Th 3.46, 4 Nd 3.46
Th 0.2500 0.2500 0.2500  4 Ce 3.46, 4 Lu 3.46


Entry 14:
DFT (PBE-GGA) results for a geometry-optimized CeNdLuTl structure.

Results
crystal system: cubic
N(E_F): 6.54 states/eV/f.u.
M_tot: 0.13 μB/f.u.
energy of formation from the pure elements: 0.771 kcal/mol of atoms

Unit cell a=7.6893 b=7.6893 c=7.6893 alpha=90.00 beta=90.00 gamma=90.00
With the nearest neighbours (Å) after each atom.
Space group F-43m (No. 216)
Inequivalent atoms, fractional coordinates:
Ce 0.0000 0.0000 0.0000  4 Nd 3.33, 4 Lu 3.33
Nd 0.2500 0.2500 0.2500  4 Tl 3.33, 4 Ce 3.33
Lu 0.2500 0.2500 0.7500  4 Tl 3.33, 4 Ce 3.33
Tl 0.0000 0.0000 0.5000  4 Nd 3.33, 4 Lu 3.33